The following is a PBEsol calculation of crystalline La2RuW at its relaxed geometry, from Alexandria.

The space group is C2/m (No. 12) and the conventional cell measures 9.916, 3.022 and 5.481 Å, with angles of 90.00, 96.25 and 90.00 degrees. The asymmetric unit holds La at (0.240, 0.000, 0.236), Ru at (0.000, 0.000, 0.000) and W at (0.000, 0.500, 0.500).

As for the total magnetic moment: 0.00 Bohr magnetons per cell. The formation energy comes out at 2.81 eV per formula unit.